# Ag4P

Ag4P after structural relaxation (PBEsol, the Alexandria database).

a b c (Å): 5.740 5.740 5.740
angles (deg): 90.00 90.00 90.00
Fractional positions:
Ag 0.250 0.250 0.250
Ag 0.250 0.250 0.750
Ag 0.250 0.750 0.250
Ag 0.250 0.750 0.750
Ag 0.750 0.250 0.250
Ag 0.750 0.250 0.750
Ag 0.750 0.750 0.250
Ag 0.750 0.750 0.750
P 0.000 0.000 0.000
P 0.500 0.500 0.500

The formation energy from the elements is 0.241 eV/atom. The value obtained for the density of states at the Fermi level is 2.11 states/eV/f.u.